Record 1
Compound: Lu2CdSb
Source: the Open Quantum Materials Database
Functional: PBE-GGA
Structure: optimized geometry

Output
As for the volume: 26.209 A^3/atom. The calculation puts the total energy at -3.52 eV/atom. As for the space group: F-43m (216).

Cell: 5.293 5.293 5.293 Å, 60.00 60.00 60.00°
Positions (direct):
Lu (0.000, 0.000, 0.000)
Lu (0.250, 0.250, 0.250)
Cd (0.750, 0.750, 0.750)
Sb (0.500, 0.500, 0.500)


Record 2
Compound: LuCdSb
Source: the Open Quantum Materials Database
Functional: PBE-GGA
Structure: optimized geometry

Output
As for the volume: 29.772 A^3/atom. The calculation puts the total energy at -3.52 eV/atom. The offset from the most stable computed form comes out at 0.000 eV/atom. As for the space group: F-43m (216).

Cell: 5.017 5.017 5.017 Å, 60.00 60.00 60.00°
Positions (direct):
Lu (0.000, 0.000, 0.000)
Cd (0.750, 0.750, 0.750)
Sb (0.250, 0.250, 0.250)


Record 3
Compound: LuSc2Cd
Source: the Open Quantum Materials Database
Functional: PBE-GGA
Structure: optimized geometry

Output
As for the volume: 24.158 A^3/atom. The value obtained for the formation enthalpy at 0 K is -22 meV per atom. The calculation puts the total energy at -4.54 eV/atom. As for the space group: F-43m (216).

Cell: 5.151 5.151 5.151 Å, 60.00 60.00 60.00°
Positions (direct):
Lu (0.000, 0.000, 0.000)
Sc (0.500, 0.500, 0.500)
Sc (0.750, 0.750, 0.750)
Cd (0.250, 0.250, 0.250)


Record 4
Compound: LuScCd2
Source: the Open Quantum Materials Database
Functional: PBE-GGA
Structure: optimized geometry

Output
As for the volume: 23.012 A^3/atom. The value obtained for the formation enthalpy at 0 K is -28 meV per atom. The calculation puts the total energy at -3.19 eV/atom. As for the space group: F-43m (216).

Cell: 5.068 5.068 5.068 Å, 60.00 60.00 60.00°
Positions (direct):
Lu (0.000, 0.000, 0.000)
Sc (0.750, 0.750, 0.750)
Cd (0.250, 0.250, 0.250)
Cd (0.500, 0.500, 0.500)


Record 5
Compound: LuScCd
Source: the Open Quantum Materials Database
Functional: PBE-GGA
Structure: optimized geometry

Output
As for the volume: 28.026 A^3/atom. The value obtained for the formation enthalpy at 0 K is 126 meV per atom. The calculation puts the total energy at -3.79 eV/atom. The offset from the most stable computed form comes out at 0.000 eV/atom. As for the space group: F-43m (216).

Cell: 4.917 4.917 4.917 Å, 60.00 60.00 60.00°
Positions (direct):
Lu (0.000, 0.000, 0.000)
Sc (0.500, 0.500, 0.500)
Cd (0.250, 0.250, 0.250)


Record 6
Compound: LuTlCdSe3
Source: the Open Quantum Materials Database
Functional: PBE-GGA
Structure: optimized geometry

Output
As for the volume: 28.765 A^3/atom. The calculation puts the total energy at -4.09 eV/atom. The offset from the most stable computed form comes out at 0.000 eV/atom. As for the space group: Pnma (62).

Cell: 14.700 4.184 11.224 Å, 90.00 90.00 90.00°
Positions (direct):
Lu (0.026, 0.250, 0.150)
Lu (0.474, 0.750, 0.650)
Lu (0.526, 0.250, 0.350)
Lu (0.974, 0.750, 0.850)
Tl (0.244, 0.250, 0.451)
Tl (0.256, 0.750, 0.951)
Tl (0.744, 0.250, 0.049)
Tl (0.756, 0.750, 0.549)
Cd (0.023, 0.750, 0.399)
Cd (0.477, 0.250, 0.899)
Cd (0.523, 0.750, 0.101)
Cd (0.977, 0.250, 0.601)
Se (0.090, 0.750, 0.630)
Se (0.093, 0.250, 0.920)
Se (0.145, 0.750, 0.227)
Se (0.355, 0.250, 0.727)
Se (0.407, 0.750, 0.420)
Se (0.410, 0.250, 0.130)
Se (0.590, 0.750, 0.870)
Se (0.593, 0.250, 0.580)
Se (0.645, 0.750, 0.273)
Se (0.855, 0.250, 0.773)
Se (0.907, 0.750, 0.080)
Se (0.910, 0.250, 0.370)


Record 7
Compound: LuTlCdSe3
Source: the Open Quantum Materials Database
Functional: PBE-GGA
Structure: optimized geometry

Output
As for the volume: 25.855 A^3/atom. The calculation puts the total energy at -3.99 eV/atom. The offset from the most stable computed form comes out at 0.102 eV/atom. As for the space group: Pnma (62).

Cell: 8.208 4.471 16.908 Å, 90.00 90.00 90.00°
Positions (direct):
Lu (0.235, 0.250, 0.038)
Lu (0.265, 0.750, 0.538)
Lu (0.735, 0.250, 0.462)
Lu (0.765, 0.750, 0.962)
Tl (0.056, 0.250, 0.802)
Tl (0.444, 0.750, 0.302)
Tl (0.556, 0.250, 0.698)
Tl (0.944, 0.750, 0.198)
Cd (0.099, 0.250, 0.346)
Cd (0.401, 0.750, 0.846)
Cd (0.599, 0.250, 0.154)
Cd (0.901, 0.750, 0.654)
Se (0.002, 0.250, 0.577)
Se (0.125, 0.750, 0.951)
Se (0.233, 0.250, 0.202)
Se (0.267, 0.750, 0.702)
Se (0.375, 0.250, 0.451)
Se (0.498, 0.750, 0.077)
Se (0.502, 0.250, 0.923)
Se (0.625, 0.750, 0.549)
Se (0.733, 0.250, 0.298)
Se (0.767, 0.750, 0.798)
Se (0.875, 0.250, 0.049)
Se (0.998, 0.750, 0.423)


Record 8
Compound: LuTlCdSe3
Source: the Open Quantum Materials Database
Functional: PBE-GGA
Structure: optimized geometry

Output
As for the volume: 27.952 A^3/atom. The calculation puts the total energy at -4.09 eV/atom. The offset from the most stable computed form comes out at 0.007 eV/atom. As for the space group: Pnma (62).

Cell: 11.006 4.179 14.585 Å, 90.00 90.00 90.00°
Positions (direct):
Lu (0.009, 0.250, 0.247)
Lu (0.491, 0.750, 0.747)
Lu (0.509, 0.250, 0.253)
Lu (0.991, 0.750, 0.753)
Tl (0.239, 0.750, 0.498)
Tl (0.261, 0.250, 0.998)
Tl (0.739, 0.750, 0.002)
Tl (0.761, 0.250, 0.502)
Cd (0.242, 0.250, 0.705)
Cd (0.258, 0.750, 0.205)
Cd (0.742, 0.250, 0.795)
Cd (0.758, 0.750, 0.295)
Se (0.032, 0.250, 0.622)
Se (0.052, 0.750, 0.117)
Se (0.241, 0.750, 0.821)
Se (0.259, 0.250, 0.321)
Se (0.448, 0.250, 0.617)
Se (0.468, 0.750, 0.122)
Se (0.532, 0.250, 0.878)
Se (0.552, 0.750, 0.383)
Se (0.741, 0.750, 0.679)
Se (0.759, 0.250, 0.179)
Se (0.948, 0.250, 0.883)
Se (0.968, 0.750, 0.378)


Record 9
Compound: LuTlCdSe3
Source: the Open Quantum Materials Database
Functional: PBE-GGA
Structure: optimized geometry

Output
As for the volume: 29.145 A^3/atom. The calculation puts the total energy at -4.09 eV/atom. The offset from the most stable computed form comes out at 0.005 eV/atom. As for the space group: P2_1/m (11).

Cell: 8.319 4.176 10.614 Å, 90.00 108.45 90.00°
Positions (direct):
Lu (0.185, 0.250, 0.133)
Lu (0.815, 0.750, 0.867)
Tl (0.239, 0.750, 0.728)
Tl (0.761, 0.250, 0.272)
Cd (0.427, 0.750, 0.385)
Cd (0.573, 0.250, 0.615)
Se (0.044, 0.250, 0.861)
Se (0.249, 0.250, 0.431)
Se (0.420, 0.750, 0.137)
Se (0.580, 0.250, 0.863)
Se (0.751, 0.750, 0.569)
Se (0.956, 0.750, 0.139)


Record 10
Compound: LuTlCdSe3
Source: the Open Quantum Materials Database
Functional: PBE-GGA
Structure: optimized geometry

Output
As for the volume: 28.238 A^3/atom. The calculation puts the total energy at -4.09 eV/atom. The offset from the most stable computed form comes out at 0.006 eV/atom. As for the space group: Cmcm (63).

Cell: 7.655 7.655 11.008 Å, 90.00 90.00 148.31°
Positions (direct):
Lu (0.000, 0.000, 0.000)
Lu (0.000, 0.000, 0.500)
Tl (0.253, 0.747, 0.750)
Tl (0.747, 0.253, 0.250)
Cd (0.454, 0.546, 0.250)
Cd (0.546, 0.454, 0.750)
Se (0.069, 0.931, 0.250)
Se (0.371, 0.629, 0.041)
Se (0.371, 0.629, 0.459)
Se (0.629, 0.371, 0.541)
Se (0.629, 0.371, 0.959)
Se (0.931, 0.069, 0.750)


Record 11
Compound: LuTlCdSe3
Source: the Open Quantum Materials Database
Functional: PBE-GGA
Structure: optimized geometry

Output
As for the volume: 27.702 A^3/atom. The calculation puts the total energy at -4.03 eV/atom. The offset from the most stable computed form comes out at 0.058 eV/atom. As for the space group: Pnma (62).

Cell: 12.375 4.200 12.791 Å, 90.00 90.00 90.00°
Positions (direct):
Lu (0.033, 0.250, 0.165)
Lu (0.467, 0.750, 0.665)
Lu (0.533, 0.250, 0.335)
Lu (0.967, 0.750, 0.835)
Tl (0.152, 0.250, 0.504)
Tl (0.348, 0.750, 0.004)
Tl (0.652, 0.250, 0.996)
Tl (0.848, 0.750, 0.496)
Cd (0.250, 0.250, 0.799)
Cd (0.250, 0.750, 0.299)
Cd (0.750, 0.250, 0.701)
Cd (0.750, 0.750, 0.201)
Se (0.033, 0.750, 0.321)
Se (0.087, 0.250, 0.934)
Se (0.243, 0.750, 0.668)
Se (0.257, 0.250, 0.168)
Se (0.413, 0.750, 0.434)
Se (0.467, 0.250, 0.821)
Se (0.533, 0.750, 0.179)
Se (0.587, 0.250, 0.566)
Se (0.743, 0.750, 0.832)
Se (0.757, 0.250, 0.332)
Se (0.913, 0.750, 0.066)
Se (0.967, 0.250, 0.679)


Record 12
Compound: SmLuCd
Source: the Open Quantum Materials Database
Functional: PBE-GGA
Structure: optimized geometry

Output
As for the volume: 31.619 A^3/atom. The value obtained for the formation enthalpy at 0 K is 504 meV per atom. The calculation puts the total energy at -2.87 eV/atom. As for the space group: F-43m (216).

Cell: 5.119 5.119 5.119 Å, 60.00 60.00 60.00°
Positions (direct):
Sm (0.000, 0.000, 0.000)
Lu (0.250, 0.250, 0.250)
Cd (0.750, 0.750, 0.750)


> Number 2 is which compound?

LuCdSb


> What is the volume in the first record?

26.209 A^3/atom


> Which of these has the highest volume?

SmLuCd